Record 1
A plane-wave DFT calculation with GGA-PBE was carried out for an optimized crystal structure of Ti2AlMo6.

Cell lengths 4.4471, 5.2170, 7.0879 Å; angles 66.82, 108.31, 90.03 degrees
Closest atoms and distances in Å follow each position.
Sites, in units of the cell vectors:
Mo1 0.4482 0.3396 0.8964  4 Mo 2.58-2.78, 2 Ti 2.70, 2 Al 2.75
Ti1 0.1152 0.3390 0.2306  6 Mo 2.70-2.76, 1 Al 2.79, 1 Ti 2.85
Mo2 0.6644 0.9955 0.3291  5 Mo 2.69-2.75, 3 Ti 2.75-2.76
Mo3 0.7752 0.3244 0.5507  6 Mo 2.69-2.78, 1 Ti 2.72, 1 Al 2.79
Mo4 0.5518 0.6604 0.1036  4 Mo 2.58-2.78, 2 Ti 2.70, 2 Al 2.75
Ti2 0.8848 0.6610 0.7694  6 Mo 2.70-2.76, 1 Al 2.79, 1 Ti 2.85
Mo5 0.3356 0.0045 0.6709  5 Mo 2.69-2.75, 3 Ti 2.75-2.76
Mo6 0.2248 0.6756 0.4493  6 Mo 2.69-2.78, 1 Ti 2.72, 1 Al 2.79
Al1 0.0000 0.0000 0.0000  6 Mo 2.75-2.79, 2 Ti 2.79

Results
formation energy	-0.141	eV per atom
SG	C2/m, No. 12
VASP energy	-9.53	eV per atom
volume	142	Å³/f.u.

***

Record 2
A plane-wave DFT calculation with GGA-PBE was carried out for an optimized crystal structure of TiAlMo.

Cell lengths 4.4996, 4.4995, 5.7241 Å; angles 89.99, 90.00, 90.00 degrees
Closest atoms and distances in Å follow each position.
Sites, in units of the cell vectors:
Mo1 0.7724 0.5986 0.9865  4 Ti 2.67, 4 Al 2.67, 2 Mo 2.86
Mo2 0.7724 0.5986 0.4865  4 Ti 2.67, 4 Al 2.67, 2 Mo 2.86
Al1 0.7723 0.0986 0.2364  4 Mo 2.67, 2 Ti 2.86
Al2 0.2724 0.5987 0.7365  4 Mo 2.67, 2 Ti 2.86
Ti1 0.2724 0.5985 0.2364  4 Mo 2.67, 2 Al 2.86
Ti2 0.7726 0.0986 0.7364  4 Mo 2.67, 2 Al 2.86

Results
formation energy	0.255	eV per atom
SG	P4_2/mmc, No. 131
VASP energy	-7.23	eV per atom
volume	58	Å³/f.u.

***

Record 3
A plane-wave DFT calculation with GGA-PBE was carried out for an optimized crystal structure of Ti6AlMo2.

Cell lengths 7.4254, 7.4254, 7.4254 Å; angles 106.52, 113.75, 108.23 degrees
Closest atoms and distances in Å follow each position.
Sites, in units of the cell vectors:
Ti1 0.2659 0.5961 0.3302  1 Mo 2.51, 1 Al 2.76
Al1 0.0000 0.0000 0.0000  2 Mo 2.71, 8 Ti 2.79-2.87
Ti2 0.7973 0.2537 0.0510  2 Mo 2.49-2.52, 2 Al 2.74-2.79
Al2 0.0000 0.5000 0.5000  8 Ti 2.74-2.76
Ti3 0.5343 0.7187 0.8156  3 Mo 2.74-2.83, 1 Al 2.87, 5 Ti 2.99-3.04
Ti4 0.2027 0.2537 0.4564  2 Mo 2.49-2.52, 2 Al 2.74-2.79
Mo1 0.5000 0.6658 0.1658  4 Ti 2.51-2.52
Mo2 0.3345 0.0000 0.3345  4 Ti 2.49-2.74, 1 Mo 2.69, 1 Al 2.71
Ti5 0.9031 0.7187 0.1844  3 Mo 2.74-2.83, 1 Al 2.87, 5 Ti 2.99-3.04
Ti6 0.2659 0.9357 0.6698  1 Mo 2.51, 1 Al 2.76
Ti7 0.7341 0.0643 0.3302  1 Mo 2.51, 1 Al 2.76
Ti8 0.7341 0.4039 0.6698  1 Mo 2.51, 1 Al 2.76
Ti9 0.0969 0.2813 0.8156  3 Mo 2.74-2.83, 1 Al 2.87, 5 Ti 2.99-3.04
Ti10 0.7973 0.7463 0.5436  2 Mo 2.49-2.52, 2 Al 2.74-2.79
Mo3 0.6655 0.0000 0.6655  4 Ti 2.49-2.74, 1 Mo 2.69, 1 Al 2.71
Ti11 0.4657 0.2813 0.1844  3 Mo 2.74-2.83, 1 Al 2.87, 5 Ti 2.99-3.04
Ti12 0.2027 0.7463 0.9490  2 Mo 2.49-2.52, 2 Al 2.74-2.79
Mo4 0.5000 0.3342 0.8342  4 Ti 2.51-2.52

Results
formation energy	0.082	eV per atom
SG	Immm, No. 71
VASP energy	-8.00	eV per atom
volume	157	Å³/f.u.

***

What is the VASP energy in the third record? -8.00 eV per atom

***

Repeat the third record exactly.
A plane-wave DFT calculation with GGA-PBE was carried out for an optimized crystal structure of Ti6AlMo2.

Cell lengths 7.4254, 7.4254, 7.4254 Å; angles 106.52, 113.75, 108.23 degrees
Closest atoms and distances in Å follow each position.
Sites, in units of the cell vectors:
Ti1 0.2659 0.5961 0.3302  1 Mo 2.51, 1 Al 2.76
Al1 0.0000 0.0000 0.0000  2 Mo 2.71, 8 Ti 2.79-2.87
Ti2 0.7973 0.2537 0.0510  2 Mo 2.49-2.52, 2 Al 2.74-2.79
Al2 0.0000 0.5000 0.5000  8 Ti 2.74-2.76
Ti3 0.5343 0.7187 0.8156  3 Mo 2.74-2.83, 1 Al 2.87, 5 Ti 2.99-3.04
Ti4 0.2027 0.2537 0.4564  2 Mo 2.49-2.52, 2 Al 2.74-2.79
Mo1 0.5000 0.6658 0.1658  4 Ti 2.51-2.52
Mo2 0.3345 0.0000 0.3345  4 Ti 2.49-2.74, 1 Mo 2.69, 1 Al 2.71
Ti5 0.9031 0.7187 0.1844  3 Mo 2.74-2.83, 1 Al 2.87, 5 Ti 2.99-3.04
Ti6 0.2659 0.9357 0.6698  1 Mo 2.51, 1 Al 2.76
Ti7 0.7341 0.0643 0.3302  1 Mo 2.51, 1 Al 2.76
Ti8 0.7341 0.4039 0.6698  1 Mo 2.51, 1 Al 2.76
Ti9 0.0969 0.2813 0.8156  3 Mo 2.74-2.83, 1 Al 2.87, 5 Ti 2.99-3.04
Ti10 0.7973 0.7463 0.5436  2 Mo 2.49-2.52, 2 Al 2.74-2.79
Mo3 0.6655 0.0000 0.6655  4 Ti 2.49-2.74, 1 Mo 2.69, 1 Al 2.71
Ti11 0.4657 0.2813 0.1844  3 Mo 2.74-2.83, 1 Al 2.87, 5 Ti 2.99-3.04
Ti12 0.2027 0.7463 0.9490  2 Mo 2.49-2.52, 2 Al 2.74-2.79
Mo4 0.5000 0.3342 0.8342  4 Ti 2.51-2.52

Results
formation energy	0.082	eV per atom
SG	Immm, No. 71
VASP energy	-8.00	eV per atom
volume	157	Å³/f.u.